# 1
Below is a relaxed Mg2Sn crystal, with properties calculated at the GGA-PBE level.

Values from the calculation:
**Uncorrected energy**: -2.431 eV/atom
**ΔE_f**: -34 meV/atom
**SG**: No. 194
**Calculated volume**: 147 Å³/cell
**N(E_F)**: 1.9 states/eV/f.u.

Cell lengths 3.4248, 3.4248, 14.4523 Å; angles 90.00, 90.00, 120.00 degrees
With the nearest neighbours (Å) after each atom.
Atoms (fractional coordinates):
Mg  0.3333  0.6667  0.0853  3 Sn 3.09, 9 Mg 3.16-3.42
Mg  0.3333  0.6667  0.4147  3 Sn 3.09, 9 Mg 3.16-3.42
Mg  0.6667  0.3333  0.5853  3 Sn 3.09, 9 Mg 3.16-3.42
Mg  0.6667  0.3333  0.9147  3 Sn 3.09, 9 Mg 3.16-3.42
Sn  0.3333  0.6667  0.7500  6 Mg 3.09, 6 Sn 3.42
Sn  0.6667  0.3333  0.2500  6 Mg 3.09, 6 Sn 3.42

---

# 2
Below is a relaxed Cr2MoHPt crystal, with properties calculated at the GGA-PBE level.

Values from the calculation:
**Uncorrected energy**: -7.871 eV/atom
**SG**: No. 123
**Distance to the lowest polymorph of the same formula**: 0.075 eV/atom
**Calculated volume**: 58 Å³/cell
**N(E_F)**: 3.7 states/eV/f.u.

Cell lengths 3.9848, 3.9848, 3.6744 Å; angles 90.00, 90.00, 90.00 degrees
With the nearest neighbours (Å) after each atom.
Atoms (fractional coordinates):
Cr  0.0000  0.5000  0.0000  2 H 1.99
Cr  0.5000  0.0000  0.0000  2 H 1.99
Mo  0.0000  0.0000  0.5000  8 Cr 2.71, 4 Pt 2.82
H  0.5000  0.5000  0.0000  2 Pt 1.84, 4 Cr 1.99
Pt  0.5000  0.5000  0.5000  2 H 1.84

---

# 3
Below is a relaxed ErNi2Bi crystal, with properties calculated at the GGA-PBE level.

Values from the calculation:
**Uncorrected energy**: -5.295 eV/atom
**ΔE_f**: -293 meV/atom
**SG**: No. 225
**Calculated volume**: 72 Å³/cell
**N(E_F)**: 2.9 states/eV/f.u.

Cell lengths 4.6604, 4.6604, 4.6604 Å; angles 60.00, 60.00, 60.00 degrees
With the nearest neighbours (Å) after each atom.
Atoms (fractional coordinates):
Er  0.0000  0.0000  0.0000  8 Ni 2.85
Ni  0.2500  0.2500  0.2500  4 Bi 2.85, 4 Er 2.85
Ni  0.7500  0.7500  0.7500  4 Bi 2.85, 4 Er 2.85
Bi  0.5000  0.5000  0.5000  8 Ni 2.85

---

# 4
Below is a relaxed EuDyCdIn crystal, with properties calculated at the GGA-PBE level.

Values from the calculation:
**Uncorrected energy**: -5.024 eV/atom
**ΔE_f**: -391 meV/atom
**SG**: No. 216
**Calculated volume**: 113 Å³/cell
**N(E_F)**: 8.4 states/eV/f.u.

Cell lengths 5.4328, 5.4328, 5.4328 Å; angles 60.00, 60.00, 60.00 degrees
With the nearest neighbours (Å) after each atom.
Atoms (fractional coordinates):
Eu  0.0000  0.0000  0.0000  4 In 3.33, 4 Cd 3.33
Dy  0.5000  0.5000  0.5000  4 Cd 3.33, 4 In 3.33
Cd  0.2500  0.2500  0.2500  4 Dy 3.33, 4 Eu 3.33
In  0.7500  0.7500  0.7500  4 Eu 3.33, 4 Dy 3.33